Record 1
DFT (PBE-GGA) results for a relaxed structure of BaCuTeI2.

a = 5.521 Å, b = 5.521 Å, c = 5.494 Å
α = 90.00°, β = 90.00°, γ = 90.00°
Space group P4/mmm (No. 123)
Inequivalent atoms, fractional coordinates:
1 Ba 0.000 0.000 0.000 (multiplicity 1)
2 Cu 0.500 0.500 0.500 (multiplicity 1)
3 Te 0.500 0.500 0.000 (multiplicity 1)
4 I 0.000 0.500 0.500 (multiplicity 2)

Summary:
Energy above the lowest structure with this stoichiometry (meV per atom): 0
VASP energy (eV per cell): -16.06
Fermi-level density of states (states/eV/atom): 0.572
Uncorrected formation energy (eV/f.u.): -3.8

Record 2
DFT (PBE-GGA) results for a relaxed structure of BaCuTeI2.

a = 6.672 Å, b = 6.672 Å, c = 6.948 Å
α = 90.00°, β = 90.00°, γ = 90.00°
Space group P4/mmm (No. 123)
Inequivalent atoms, fractional coordinates:
1 Ba 0.000 0.000 0.000 (multiplicity 1)
2 Cu 0.500 0.500 0.500 (multiplicity 1)
3 Te 0.000 0.000 0.500 (multiplicity 1)
4 I 0.000 0.500 0.000 (multiplicity 2)

Summary:
Energy above the lowest structure with this stoichiometry (meV per atom): 801
VASP energy (eV per cell): -12.06
Fermi-level density of states (states/eV/atom): 1.079
Uncorrected formation energy (eV/f.u.): 0.2

Record 3
DFT (PBE-GGA) results for a relaxed structure of BaTi2CuI.

a = 5.186 Å, b = 5.186 Å, c = 6.278 Å
α = 90.00°, β = 90.00°, γ = 90.00°
Space group P4/mmm (No. 123)
Inequivalent atoms, fractional coordinates:
1 Ba 0.000 0.000 0.000 (multiplicity 1)
2 Ti 0.000 0.500 0.000 (multiplicity 2)
3 Cu 0.500 0.500 0.500 (multiplicity 1)
4 I 0.000 0.000 0.500 (multiplicity 1)

Summary:
VASP energy (eV per cell): -14.21
Fermi-level density of states (states/eV/atom): 1.085
Uncorrected formation energy (eV/f.u.): 9.1

Record 4
DFT (PBE-GGA) results for a relaxed structure of BaTlCuI4.

a = 7.721 Å, b = 8.027 Å, c = 9.650 Å
α = 90.00°, β = 107.40°, γ = 90.00°
Space group P2_1/m (No. 11)
Inequivalent atoms, fractional coordinates:
1 Ba 0.234 0.250 0.059 (multiplicity 2)
2 Tl 0.259 0.250 0.560 (multiplicity 2)
3 Cu 0.226 0.750 0.812 (multiplicity 2)
4 I 0.001 0.504 0.246 (multiplicity 4)
5 I 0.412 0.750 0.090 (multiplicity 2)
6 I 0.414 0.750 0.625 (multiplicity 2)

Summary:
VASP energy (eV per cell): -42.87
Fermi-level density of states (states/eV/atom): 0.000
Uncorrected formation energy (eV/f.u.): -6.8

Record 5
DFT (PBE-GGA) results for a relaxed structure of BaTlCu2I6.

a = 7.8555 Å, b = 7.8555 Å, c = 27.3398 Å
α = 90.00°, β = 90.00°, γ = 120.00°
Space group R-3 (No. 148, hexagonal axes)
Inequivalent atoms, fractional coordinates:
1 Ba 0.0000 0.0000 0.0000 (multiplicity 3)
2 Tl 0.0000 0.0000 0.5000 (multiplicity 3)
3 Cu 0.0000 0.0000 0.2522 (multiplicity 6)
4 I 0.0010 0.6801 0.7491 (multiplicity 18)

Summary:
VASP energy (eV per cell): -85.38
Fermi-level density of states (states/eV/atom): 1.465
Uncorrected formation energy (eV/f.u.): -6.7

Record 6
DFT (PBE-GGA) results for a relaxed structure of Ba2ZnCuI.

a = 6.293 Å, b = 6.293 Å, c = 4.674 Å
α = 90.00°, β = 90.00°, γ = 90.00°
Space group P4/mmm (No. 123)
Inequivalent atoms, fractional coordinates:
1 Ba 0.000 0.500 0.000 (multiplicity 2)
2 Zn 0.000 0.000 0.500 (multiplicity 1)
3 Cu 0.000 0.000 0.000 (multiplicity 1)
4 I 0.500 0.500 0.500 (multiplicity 1)

Summary:
VASP energy (eV per cell): -13.15
Fermi-level density of states (states/eV/atom): 0.685
Uncorrected formation energy (eV/f.u.): -2.4

Record 7
DFT (PBE-GGA) results for a relaxed structure of Ba2ZrCuI.

a = 6.486 Å, b = 6.486 Å, c = 4.826 Å
α = 90.00°, β = 90.00°, γ = 90.00°
Space group P4/mmm (No. 123)
Inequivalent atoms, fractional coordinates:
1 Ba 0.000 0.500 0.000 (multiplicity 2)
2 Zr 0.000 0.000 0.000 (multiplicity 1)
3 Cu 0.000 0.000 0.500 (multiplicity 1)
4 I 0.500 0.500 0.500 (multiplicity 1)

Summary:
VASP energy (eV per cell): -16.94
Fermi-level density of states (states/eV/atom): 1.149
Uncorrected formation energy (eV/f.u.): 1.1

Record 8
DFT (PBE-GGA) results for a relaxed structure of BaIn3Cu.

a = 5.249 Å, b = 5.249 Å, c = 5.249 Å
α = 90.00°, β = 90.00°, γ = 90.00°
Space group Pm-3m (No. 221)
Inequivalent atoms, fractional coordinates:
1 Ba 0.000 0.000 0.000 (multiplicity 1)
2 In 0.000 0.500 0.500 (multiplicity 3)
3 Cu 0.500 0.500 0.500 (multiplicity 1)

Summary:
VASP energy (eV per cell): -14.95
Fermi-level density of states (states/eV/atom): 0.786